## Pm2P3Ir4Pd (PBE)

Data for an optimized crystal structure of Pm2P3Ir4Pd.

Results
**ΔH_f (0 K)**: -825 meV per atom
**D(E_F)**: 3.18 states/eV/cell
**Energy**: -74.6 eV for the cell shown

```
Pm2P3Ir4Pd
1.0
4.126 0.000 0.000
0.000 4.126 0.000
0.000 0.000 10.122
Pm P Ir Pd
2 3 4 1
Direct
0.000 0.500 0.245 Pm
0.500 0.000 0.755 Pm
0.000 0.000 0.000 P
0.000 0.500 0.633 P
0.500 0.000 0.367 P
0.000 0.000 0.500 Ir
0.000 0.500 0.854 Ir
0.500 0.000 0.146 Ir
0.500 0.500 0.500 Ir
0.500 0.500 0.000 Pd
```

***

## Ca2HfBPt (PBE)

Data for an optimized crystal structure of Ca2HfBPt.

Results
**ΔH_f (0 K)**: 712 meV per atom
**D(E_F)**: 6.21 states/eV/cell
**Energy**: -23.1 eV for the cell shown

```
Ca2HfBPt
1.0
5.461 0.000 0.000
0.000 5.461 0.000
0.000 0.000 5.013
Ca Hf B Pt
2 1 1 1
Direct
0.000 0.500 0.000 Ca
0.500 0.000 0.000 Ca
0.000 0.000 0.500 Hf
0.500 0.500 0.500 B
0.000 0.000 0.000 Pt
```

***

## CaTiGa2 (PBE)

Data for an optimized crystal structure of CaTiGa2.

Results
**ΔH_f (0 K)**: 172 meV per atom
**D(E_F)**: 11.82 states/eV/cell
**Energy**: -61.1 eV for the cell shown

```
CaTiGa2
1.0
4.732 0.000 0.000
0.000 4.732 0.000
0.000 0.000 18.168
Ca Ti Ga
4 4 8
Direct
0.000 0.000 0.000 Ca
0.000 0.500 0.250 Ca
0.500 0.000 0.750 Ca
0.500 0.500 0.500 Ca
0.000 0.000 0.500 Ti
0.000 0.500 0.750 Ti
0.500 0.000 0.250 Ti
0.500 0.500 0.000 Ti
0.134 0.250 0.625 Ga
0.250 0.634 0.875 Ga
0.250 0.866 0.375 Ga
0.366 0.250 0.125 Ga
0.634 0.750 0.125 Ga
0.750 0.134 0.375 Ga
0.750 0.366 0.875 Ga
0.866 0.750 0.625 Ga
```

***

## ZnNiPt (PBE)

Data for an optimized crystal structure of ZnNiPt.

Results
**ΔH_f (0 K)**: -237 meV per atom
**D(E_F)**: 4.38 states/eV/cell
**Energy**: -13.8 eV for the cell shown

```
ZnNiPt
1.0
4.168 0.000 0.000
-2.084 3.610 0.000
0.000 0.000 2.697
Zn Ni Pt
1 1 1
Direct
0.000 0.000 0.000 Zn
0.333 0.667 0.093 Ni
0.667 0.333 0.558 Pt
```

***

## SrTe2NF (PBE)

Data for an optimized crystal structure of SrTe2NF.

Results
**Offset from the most stable computed form**: 0 meV/atom
**Formation energy from raw total energies**: 0.033 eV per atom
**D(E_F)**: 2.05 states/eV/cell
**Energy**: -18.0 eV for the cell shown

```
SrTe2NF
1.0
4.806 0.000 0.000
0.000 4.806 0.000
0.000 0.000 5.260
Sr Te N F
1 2 1 1
Direct
0.000 0.000 0.000 Sr
0.000 0.500 0.500 Te
0.500 0.000 0.500 Te
0.500 0.500 0.000 N
0.500 0.500 0.500 F
```

***

## InAgI2 (PBE)

Data for an optimized crystal structure of InAgI2.

Results
**Formation energy from raw total energies**: -0.303 eV per atom
**D(E_F)**: 0.00 states/eV/cell
**Energy**: -39.6 eV for the cell shown

```
InAgI2
1.0
8.310 0.000 0.000
0.000 8.310 0.000
0.000 0.000 8.972
In Ag I
4 4 8
Direct
0.000 0.000 0.000 In
0.000 0.500 0.250 In
0.500 0.000 0.750 In
0.500 0.500 0.500 In
0.000 0.000 0.500 Ag
0.000 0.500 0.750 Ag
0.500 0.000 0.250 Ag
0.500 0.500 0.000 Ag
0.196 0.250 0.625 I
0.250 0.696 0.875 I
0.250 0.804 0.375 I
0.304 0.250 0.125 I
0.696 0.750 0.125 I
0.750 0.196 0.375 I
0.750 0.304 0.875 I
0.804 0.750 0.625 I
```

***

## ReAsW (PBE)

Data for an optimized crystal structure of ReAsW.

Results
**ΔH_f (0 K)**: 212 meV per atom
**Offset from the most stable computed form**: 0 meV/atom
**D(E_F)**: 1.13 states/eV/cell
**Energy**: -29.4 eV for the cell shown

```
ReAsW
1.0
4.282 0.000 0.000
-2.141 3.708 0.000
0.000 0.000 2.919
Re As W
1 1 1
Direct
0.000 0.000 0.000 Re
0.667 0.333 0.000 As
0.333 0.667 0.500 W
```

***

## Zr3AlN2 (PBE)

Data for an optimized crystal structure of Zr3AlN2.

Results
**Formation energy from raw total energies**: -0.840 eV per atom
**D(E_F)**: 5.65 states/eV/cell
**Energy**: -102.2 eV for the cell shown

```
Zr3AlN2
1.0
5.131 -3.184 0.000
5.131 3.184 0.000
0.000 0.000 5.847
Zr Al N
6 2 4
Direct
0.047 0.516 0.250 Zr
0.061 0.939 0.750 Zr
0.484 0.953 0.250 Zr
0.516 0.047 0.750 Zr
0.939 0.061 0.250 Zr
0.953 0.484 0.750 Zr
0.481 0.519 0.750 Al
0.519 0.481 0.250 Al
0.168 0.168 0.000 N
0.168 0.168 0.500 N
0.832 0.832 0.000 N
0.832 0.832 0.500 N
```